# SnAsCl | Alexandria via LeMat-Bulk | PBE | relaxed
data_SnAsCl
_symmetry_space_group_name_H-M 'P 1 21/c 1'
_symmetry_Int_Tables_number 14
_cell_length_a 7.283
_cell_length_b 5.699
_cell_length_c 8.259
_cell_angle_alpha 90.00
_cell_angle_beta 90.55
_cell_angle_gamma 90.00
loop_
_symmetry_equiv_pos_as_xyz
'x,y,z'
'-x,-y,-z'
'-x,y+1/2,-z+1/2'
'x,-y+1/2,z+1/2'
loop_
_atom_site_label
_atom_site_fract_x
_atom_site_fract_y
_atom_site_fract_z
Sn1 0.226 0.014 0.152
As1 0.061 0.669 0.935
Cl1 0.396 0.141 0.834
# - Raw formation energy: -0.4061 eV/atom
# - Relative energy among the computed polymorphs: 57 meV/atom



# ZrInBr3 | Alexandria via LeMat-Bulk | PBE | relaxed
data_ZrInBr3
_symmetry_space_group_name_H-M 'P m -3 m'
_symmetry_Int_Tables_number 221
_symmetry_space_group_name_Hall '-P 4 2 3'
_cell_length_a 5.405
_cell_length_b 5.405
_cell_length_c 5.405
_cell_angle_alpha 90.00
_cell_angle_beta 90.00
_cell_angle_gamma 90.00
loop_
_atom_site_label
_atom_site_fract_x
_atom_site_fract_y
_atom_site_fract_z
Zr1 0.000 0.000 0.000
In1 0.500 0.500 0.500
Br1 0.000 0.000 0.500
# - Raw formation energy: -0.7019 eV/atom



# Cu2ReAu | Alexandria via LeMat-Bulk | PBE | relaxed
data_Cu2ReAu
_symmetry_space_group_name_H-M 'F m -3 m'
_symmetry_Int_Tables_number 225
_symmetry_space_group_name_Hall '-F 4 2 3'
_cell_length_a 6.103
_cell_length_b 6.103
_cell_length_c 6.103
_cell_angle_alpha 90.00
_cell_angle_beta 90.00
_cell_angle_gamma 90.00
loop_
_atom_site_label
_atom_site_fract_x
_atom_site_fract_y
_atom_site_fract_z
Cu1 0.250 0.250 0.250
Re1 0.000 0.000 0.000
Au1 0.000 0.000 0.500
# - Formation energy: 0.54 eV/atom
# - Relative energy among the computed polymorphs: 334 meV/atom



# TiNiP2Cl | Alexandria via LeMat-Bulk | PBE | relaxed
data_TiNiP2Cl
_symmetry_space_group_name_H-M 'P 4/m m m'
_symmetry_Int_Tables_number 123
_symmetry_space_group_name_Hall '-P 4 2'
_cell_length_a 4.367
_cell_length_b 4.367
_cell_length_c 4.632
_cell_angle_alpha 90.00
_cell_angle_beta 90.00
_cell_angle_gamma 90.00
loop_
_atom_site_label
_atom_site_fract_x
_atom_site_fract_y
_atom_site_fract_z
Ti1 0.000 0.000 0.000
Ni1 0.500 0.500 0.500
P1 0.000 0.500 0.500
Cl1 0.500 0.500 0.000
# - Raw formation energy: 0.3004 eV/atom
# - Relative energy among the computed polymorphs: 0 meV/atom



# ThNpSb2 | Alexandria via LeMat-Bulk | PBE | relaxed
data_ThNpSb2
_symmetry_space_group_name_H-M 'F m -3 m'
_symmetry_Int_Tables_number 225
_symmetry_space_group_name_Hall '-F 4 2 3'
_cell_length_a 7.639
_cell_length_b 7.639
_cell_length_c 7.639
_cell_angle_alpha 90.00
_cell_angle_beta 90.00
_cell_angle_gamma 90.00
loop_
_atom_site_label
_atom_site_fract_x
_atom_site_fract_y
_atom_site_fract_z
Th1 0.000 0.000 0.000
Np1 0.000 0.000 0.500
Sb1 0.250 0.250 0.250
# - Raw formation energy: -0.4459 eV/atom
# - Relative energy among the computed polymorphs: 126 meV/atom



# PrScPt2 | Alexandria via LeMat-Bulk | PBE | relaxed
data_PrScPt2
_symmetry_space_group_name_H-M 'F m -3 m'
_symmetry_Int_Tables_number 225
_symmetry_space_group_name_Hall '-F 4 2 3'
_cell_length_a 6.979
_cell_length_b 6.979
_cell_length_c 6.979
_cell_angle_alpha 90.00
_cell_angle_beta 90.00
_cell_angle_gamma 90.00
loop_
_atom_site_label
_atom_site_fract_x
_atom_site_fract_y
_atom_site_fract_z
Pr1 0.000 0.000 0.000
Sc1 0.000 0.000 0.500
Pt1 0.250 0.250 0.250
# - Formation energy: -1.01 eV/atom
# - Relative energy among the computed polymorphs: 129 meV/atom



# Pr2PaPdN4 | Alexandria via LeMat-Bulk | PBE | relaxed
data_Pr2PaPdN4
_symmetry_space_group_name_H-M 'P 1 2/m 1'
_symmetry_Int_Tables_number 10
_cell_length_a 6.348
_cell_length_b 3.483
_cell_length_c 6.378
_cell_angle_alpha 90.00
_cell_angle_beta 116.87
_cell_angle_gamma 90.00
loop_
_symmetry_equiv_pos_as_xyz
'x,y,z'
'-x,-y,-z'
'-x,y,-z'
'x,-y,z'
loop_
_atom_site_label
_atom_site_fract_x
_atom_site_fract_y
_atom_site_fract_z
Pr1 0.000 0.000 0.000
Pr2 0.500 0.500 0.000
Pa1 0.000 0.500 0.500
Pd1 0.500 0.000 0.500
N1 0.191 0.000 0.746
N2 0.259 0.500 0.292
# - Raw formation energy: -0.9087 eV/atom



# GdZrRu | Alexandria via LeMat-Bulk | PBE | relaxed
data_GdZrRu
_symmetry_space_group_name_H-M 'I 4 m m'
_symmetry_Int_Tables_number 107
_symmetry_space_group_name_Hall 'I 4 -2'
_cell_length_a 3.366
_cell_length_b 3.366
_cell_length_c 11.646
_cell_angle_alpha 90.00
_cell_angle_beta 90.00
_cell_angle_gamma 90.00
loop_
_atom_site_label
_atom_site_fract_x
_atom_site_fract_y
_atom_site_fract_z
Gd1 0.000 0.000 0.000
Zr1 0.000 0.000 0.286
Ru1 0.000 0.000 0.664
# - Formation energy: -0.25 eV/atom



# LuPa2Tc | Alexandria via LeMat-Bulk | PBE | relaxed
data_LuPa2Tc
_symmetry_space_group_name_H-M 'P 4/m m m'
_symmetry_Int_Tables_number 123
_symmetry_space_group_name_Hall '-P 4 2'
_cell_length_a 3.600
_cell_length_b 3.600
_cell_length_c 7.394
_cell_angle_alpha 90.00
_cell_angle_beta 90.00
_cell_angle_gamma 90.00
loop_
_atom_site_label
_atom_site_fract_x
_atom_site_fract_y
_atom_site_fract_z
Lu1 0.000 0.000 0.000
Pa1 0.500 0.500 0.304
Tc1 0.000 0.000 0.500
# - Formation energy: 0.07 eV/atom
# - Relative energy among the computed polymorphs: 0 meV/atom



# BeReSn2Ge | Alexandria via LeMat-Bulk | PBE | relaxed
data_BeReSn2Ge
_symmetry_space_group_name_H-M 'P 4/m m m'
_symmetry_Int_Tables_number 123
_symmetry_space_group_name_Hall '-P 4 2'
_cell_length_a 4.816
_cell_length_b 4.816
_cell_length_c 4.260
_cell_angle_alpha 90.00
_cell_angle_beta 90.00
_cell_angle_gamma 90.00
loop_
_atom_site_label
_atom_site_fract_x
_atom_site_fract_y
_atom_site_fract_z
Be1 0.000 0.000 0.000
Re1 0.000 0.000 0.500
Sn1 0.000 0.500 0.000
Ge1 0.500 0.500 0.500
# - Formation energy: 0.90 eV/atom



# PmGdDyHg | Alexandria via LeMat-Bulk | PBE | relaxed
data_PmGdDyHg
_symmetry_space_group_name_H-M 'F -4 3 m'
_symmetry_Int_Tables_number 216
_symmetry_space_group_name_Hall 'F -4 2 3'
_cell_length_a 7.707
_cell_length_b 7.707
_cell_length_c 7.707
_cell_angle_alpha 90.00
_cell_angle_beta 90.00
_cell_angle_gamma 90.00
loop_
_atom_site_label
_atom_site_fract_x
_atom_site_fract_y
_atom_site_fract_z
Pm1 0.000 0.000 0.000
Gd1 0.250 0.250 0.250
Dy1 0.250 0.250 0.750
Hg1 0.000 0.000 0.500
# - Formation energy: -0.05 eV/atom



# K3ScSb2S6 | Alexandria via LeMat-Bulk | PBE | relaxed
data_K3ScSb2S6
_symmetry_space_group_name_H-M 'C 1 2/m 1'
_symmetry_Int_Tables_number 12
_cell_length_a 6.947
_cell_length_b 12.034
_cell_length_c 7.675
_cell_angle_alpha 90.00
_cell_angle_beta 107.58
_cell_angle_gamma 90.00
loop_
_symmetry_equiv_pos_as_xyz
'x,y,z'
'-x,-y,-z'
'-x,y,-z'
'x,-y,z'
'x+1/2,y+1/2,z'
'-x+1/2,-y+1/2,-z'
'-x+1/2,y+1/2,-z'
'x+1/2,-y+1/2,z'
loop_
_atom_site_label
_atom_site_fract_x
_atom_site_fract_y
_atom_site_fract_z
K1 0.000 0.000 0.000
K2 0.000 0.330 0.000
Sc1 0.000 0.500 0.500
Sb1 0.000 0.166 0.500
S1 0.225 0.341 0.698
S2 0.248 0.000 0.699
# - Raw formation energy: -1.0498 eV/atom



# Ti3Mn | Alexandria via LeMat-Bulk | PBE | relaxed
data_Ti3Mn
_symmetry_space_group_name_H-M 'P m m 2'
_symmetry_Int_Tables_number 25
_cell_length_a 2.698
_cell_length_b 2.898
_cell_length_c 8.393
_cell_angle_alpha 90.00
_cell_angle_beta 90.00
_cell_angle_gamma 90.00
loop_
_symmetry_equiv_pos_as_xyz
'x,y,z'
'-x,-y,z'
'-x,y,z'
'x,-y,z'
loop_
_atom_site_label
_atom_site_fract_x
_atom_site_fract_y
_atom_site_fract_z
Ti1 0.000 0.000 0.000
Ti2 0.000 0.500 0.314
Ti3 0.500 0.500 0.755
Mn1 0.500 0.000 0.510
# - Formation energy: 0.24 eV/atom



# Ho5MgS6 | Alexandria via LeMat-Bulk | PBE | relaxed
data_Ho5MgS6
_symmetry_space_group_name_H-M 'C 1 2/m 1'
_symmetry_Int_Tables_number 12
_cell_length_a 6.674
_cell_length_b 11.626
_cell_length_c 6.664
_cell_angle_alpha 90.00
_cell_angle_beta 109.52
_cell_angle_gamma 90.00
loop_
_symmetry_equiv_pos_as_xyz
'x,y,z'
'-x,-y,-z'
'-x,y,-z'
'x,-y,z'
'x+1/2,y+1/2,z'
'-x+1/2,-y+1/2,-z'
'-x+1/2,y+1/2,-z'
'x+1/2,-y+1/2,z'
loop_
_atom_site_label
_atom_site_fract_x
_atom_site_fract_y
_atom_site_fract_z
Ho1 0.000 0.000 0.000
Ho2 0.000 0.167 0.500
Ho3 0.000 0.330 0.000
Mg1 0.000 0.500 0.500
S1 0.237 0.500 0.258
S2 0.240 0.340 0.742
# - Raw formation energy: -1.8471 eV/atom



# Cd2InH2 | Alexandria via LeMat-Bulk | PBE | relaxed
data_Cd2InH2
_symmetry_space_group_name_H-M 'P 4/m b m'
_symmetry_Int_Tables_number 127
_symmetry_space_group_name_Hall '-P 4 2ab'
_cell_length_a 7.548
_cell_length_b 7.548
_cell_length_c 2.920
_cell_angle_alpha 90.00
_cell_angle_beta 90.00
_cell_angle_gamma 90.00
loop_
_atom_site_label
_atom_site_fract_x
_atom_site_fract_y
_atom_site_fract_z
Cd1 0.138 0.362 0.000
In1 0.000 0.000 0.500
H1 0.117 0.617 0.500
# - Relative energy among the computed polymorphs: 424 meV/atom



# Fe2Cu5Pd4 | Alexandria via LeMat-Bulk | PBE | relaxed
data_Fe2Cu5Pd4
_symmetry_space_group_name_H-M 'C 1 2/m 1'
_symmetry_Int_Tables_number 12
_cell_length_a 16.631
_cell_length_b 2.684
_cell_length_c 6.731
_cell_angle_alpha 90.00
_cell_angle_beta 91.65
_cell_angle_gamma 90.00
loop_
_symmetry_equiv_pos_as_xyz
'x,y,z'
'-x,-y,-z'
'-x,y,-z'
'x,-y,z'
'x+1/2,y+1/2,z'
'-x+1/2,-y+1/2,-z'
'-x+1/2,y+1/2,-z'
'x+1/2,-y+1/2,z'
loop_
_atom_site_label
_atom_site_fract_x
_atom_site_fract_y
_atom_site_fract_z
Fe1 0.055 0.000 0.378
Cu1 0.000 0.000 0.000
Cu2 0.126 0.500 0.099
Cu3 0.186 0.500 0.452
Pd1 0.076 0.500 0.719
Pd2 0.237 0.500 0.821
# - Formation energy: 0.03 eV/atom



# MnNbInFe | Alexandria via LeMat-Bulk | PBE | relaxed
data_MnNbInFe
_symmetry_space_group_name_H-M 'F -4 3 m'
_symmetry_Int_Tables_number 216
_symmetry_space_group_name_Hall 'F -4 2 3'
_cell_length_a 6.179
_cell_length_b 6.179
_cell_length_c 6.179
_cell_angle_alpha 90.00
_cell_angle_beta 90.00
_cell_angle_gamma 90.00
loop_
_atom_site_label
_atom_site_fract_x
_atom_site_fract_y
_atom_site_fract_z
Mn1 0.000 0.000 0.000
Nb1 0.250 0.250 0.250
In1 0.250 0.250 0.750
Fe1 0.000 0.000 0.500
# - Formation energy: 0.11 eV/atom



# Cs3PbAu3 | Alexandria via LeMat-Bulk | PBE | relaxed
data_Cs3PbAu3
_symmetry_space_group_name_H-M 'C m c m'
_symmetry_Int_Tables_number 63
_symmetry_space_group_name_Hall '-C 2c 2'
_cell_length_a 11.111
_cell_length_b 19.329
_cell_length_c 7.355
_cell_angle_alpha 90.00
_cell_angle_beta 90.00
_cell_angle_gamma 90.00
loop_
_atom_site_label
_atom_site_fract_x
_atom_site_fract_y
_atom_site_fract_z
Cs1 0.000 0.188 0.250
Cs2 0.218 0.407 0.250
Pb1 0.000 0.333 0.750
Au1 0.000 0.187 0.750
Au2 0.219 0.407 0.750
# - Formation energy: -0.11 eV/atom
# - Relative energy among the computed polymorphs: 140 meV/atom



# Pm6Ho2Sc | Alexandria via LeMat-Bulk | PBE | relaxed
data_Pm6Ho2Sc
_symmetry_space_group_name_H-M 'C 1 2/c 1'
_symmetry_Int_Tables_number 15
_cell_length_a 16.216
_cell_length_b 11.706
_cell_length_c 6.180
_cell_angle_alpha 90.00
_cell_angle_beta 96.18
_cell_angle_gamma 90.00
loop_
_symmetry_equiv_pos_as_xyz
'x,y,z'
'-x,-y,-z'
'-x,y,-z+1/2'
'x,-y,z+1/2'
'x+1/2,y+1/2,z'
'-x+1/2,-y+1/2,-z'
'-x+1/2,y+1/2,-z+1/2'
'x+1/2,-y+1/2,z+1/2'
loop_
_atom_site_label
_atom_site_fract_x
_atom_site_fract_y
_atom_site_fract_z
Pm1 0.049 0.142 0.012
Pm2 0.112 0.364 0.324
Pm3 0.210 0.359 0.852
Ho1 0.170 0.101 0.574
Sc1 0.000 0.395 0.750
# - Formation energy: 0.09 eV/atom
# - Relative energy among the computed polymorphs: 28 meV/atom



# Co2MoOs | Alexandria via LeMat-Bulk | PBE | relaxed
data_Co2MoOs
_symmetry_space_group_name_H-M 'C m m m'
_symmetry_Int_Tables_number 65
_symmetry_space_group_name_Hall '-C 2 2'
_cell_length_a 5.256
_cell_length_b 7.359
_cell_length_c 2.633
_cell_angle_alpha 90.00
_cell_angle_beta 90.00
_cell_angle_gamma 90.00
loop_
_atom_site_label
_atom_site_fract_x
_atom_site_fract_y
_atom_site_fract_z
Co1 0.250 0.250 0.000
Mo1 0.000 0.000 0.500
Os1 0.000 0.500 0.500
# - Formation energy: 0.10 eV/atom
# - Relative energy among the computed polymorphs: 97 meV/atom



How do the records compare in Fermi-level density of states? In the order shown, they have 3.566, 4.101, 13.336, 3.821, 57.569, 16.338, 3.220, 4.617, 7.438, 4.068, 24.622, 0.000, 4.820, 7.948, 2.586, 13.782, 17.371, 18.105, 51.788, 9.662 states/eV per cell.
How do the records compare in electronic total energy? In the order shown, they have -46.87, -19.81, -86.99, -24.84, -121.56, -108.90, -64.82, -65.34, -33.59, -24.29, -95.69, -110.46, -31.89, -142.83, -17.44, -115.71, -120.02, -67.47, -172.62, -71.78 eV/cell.